Crystalline KAlOs2 at its relaxed geometry. Source: Alexandria, functional PBE.

The structure in POSCAR format:
```
KAlOs2
1.0
10.328 -0.015 -0.009
9.938 2.812 -0.009
9.938 1.371 2.454
K Os Al
1 2 1
direct
0.749 0.749 0.749
0.984 0.984 0.984
0.251 0.251 0.251
0.515 0.515 0.515
```

Results
Size of the total moment: 0.00 μB/f.u.
SG: R3m (160)
Electronic total energy: -6.205 eV per atom
Density of states at the Fermi level: 1.385 states/eV per atom
DFT formation energy: 60 kJ per mole of atoms
Theoretical density: 10.3 Mg/m³